Computed, not measured: a relaxed SrMgGaGe2 crystal at the PBE level of DFT.

Values from the calculation:
Crystal system ... tetragonal
Space group ... No. 119
E_tot ... -17.5 eV per cell
Magnetic moment ... 0.0 μB per formula unit
Energy of formation from the pure elements ... -1.99 eV/f.u.
DOS(E_F) ... 1.48 states/eV/cell

Cell lengths 6.7405, 6.7405, 6.7405 Å; angles 142.07, 142.07, 54.72 degrees
Fractional positions:
Sr 0.0000 0.0000 0.0000
Mg 0.2500 0.7500 0.5000
Ga 0.7500 0.2500 0.5000
Ge 0.3877 0.3877 0.0000
Ge 0.6123 0.6123 0.0000